Record 1
The following is a PBE calculation of a relaxed structure of ScInW2, from Alexandria.

The calculation puts the energy at -0.61026 Ry per atom. The density of states at the Fermi level is 0.690 states/eV/atom. For the density, the calculation gives 11.80 g/cm3. The value obtained for the size of the total moment is 0.00 μB/cell.

Cell: 2.8151 4.6439 5.6764 Å, 90.00 90.00 90.00°
Last column: nearest neighbours and their distance in Å.
Fractional coordinates of all 4 atoms:
1 W 0.0000 0.0000 0.9842  3 W 2.66-2.82
2 W 0.0000 0.0000 0.5158  3 W 2.66-2.82
3 Sc 0.5000 0.5000 0.7500  2 Sc 2.82, 2 In 2.84, 8 W 3.02
4 In 0.5000 0.5000 0.2500  2 In 2.82, 2 Sc 2.84, 8 W 3.11

Record 2
The following is a PBE calculation of a relaxed structure of CaMnTc2, from Alexandria.

As for the distance to the lowest polymorph of the same formula: 155 meV per atom. The density of states at the Fermi level is 1.198 states/eV/atom. For the density, the calculation gives 6.48 g/cm3. The value obtained for the size of the total moment is 1.94 μB/cell.

Cell: 4.9274 4.9274 5.3291 Å, 74.34 74.34 36.99°
Last column: nearest neighbours and their distance in Å.
Fractional coordinates of all 4 atoms:
1 Mn 0.2855 0.2855 0.1573  4 Tc 2.48-2.50
2 Tc 0.7144 0.7144 0.8508  2 Tc 2.48, 2 Mn 2.48
3 Tc 0.0007 0.0007 0.9954  2 Tc 2.48, 2 Mn 2.50
4 Ca 0.4994 0.4994 0.4965  3 Mn 3.05-3.18, 7 Tc 3.09-3.20, 2 Ca 3.13

Record 3
The following is a PBE calculation of a relaxed structure of Nb3In2, from Alexandria.

The calculation puts the energy at -0.49440 Ry per atom. The density of states at the Fermi level is 0.767 states/eV/atom. For the density, the calculation gives 7.61 g/cm3. The value obtained for the size of the total moment is 0.00 μB/cell.

Cell: 5.1239 5.4245 8.8102 Å, 72.07 84.61 72.23°
Last column: nearest neighbours and their distance in Å.
Fractional coordinates of all 10 atoms:
1 Nb 0.7379 0.1781 0.0000  5 Nb 2.68-2.92
2 Nb 0.2687 0.4277 0.8354  4 Nb 2.68-2.92, 1 In 2.94
3 Nb 0.2621 0.8219 0.0000  5 Nb 2.68-2.92
4 Nb 0.2687 0.2631 0.1646  4 Nb 2.68-2.92, 1 In 2.94
5 Nb 0.7313 0.5723 0.1646  4 Nb 2.68-2.92, 1 In 2.94
6 Nb 0.7313 0.7369 0.8354  4 Nb 2.68-2.92, 1 In 2.94
7 In 0.0000 0.8408 0.3184  2 In 2.93, 4 Nb 2.94-3.01
8 In 0.0000 0.1592 0.6816  2 In 2.93, 4 Nb 2.94-3.01
9 In 0.5000 0.5000 0.5000  4 In 2.71-2.93, 2 Nb 3.03
10 In 0.5000 0.0000 0.5000  4 In 2.71-2.93, 2 Nb 3.03

Record 4
The following is a PBE calculation of a relaxed structure of Os2RuW, from Alexandria.

As for the distance to the lowest polymorph of the same formula: 34 meV per atom. The density of states at the Fermi level is 0.797 states/eV/atom. For the density, the calculation gives 18.83 g/cm3. The value obtained for the size of the total moment is 0.00 μB/cell.

Cell: 4.7723 4.7723 4.7674 Å, 132.03 132.03 70.26°
Last column: nearest neighbours and their distance in Å.
Fractional coordinates of all 4 atoms:
1 Ru 0.7500 0.2500 0.5000  4 W 2.74-2.75, 8 Os 2.75
2 Os 0.5000 0.5000 0.0000  4 Os 2.74-2.75, 4 W 2.75, 4 Ru 2.75
3 Os 0.0000 0.0000 0.0000  4 Os 2.74-2.75, 4 W 2.75, 4 Ru 2.75
4 W 0.2500 0.7500 0.5000  4 Ru 2.74-2.75, 8 Os 2.75

Record 5
The following is a PBE calculation of a relaxed structure of La2MgO, from Alexandria.

As for the distance to the lowest polymorph of the same formula: 1032 meV per atom. The density of states at the Fermi level is 1.546 states/eV/atom. For the density, the calculation gives 5.40 g/cm3. As for the raw formation energy: -267 meV/atom. The value obtained for the size of the total moment is 0.05 μB/cell.

Cell: 5.1723 5.1723 5.1723 Å, 60.00 60.00 60.00°
Last column: nearest neighbours and their distance in Å.
Fractional coordinates of all 4 atoms:
1 O 0.0000 0.0000 0.0000  8 La 3.17
2 Mg 0.5000 0.5000 0.5000  8 La 3.17
3 La 0.7500 0.7500 0.7500  4 Mg 3.17, 4 O 3.17
4 La 0.2500 0.2500 0.2500  4 Mg 3.17, 4 O 3.17

> Which value of size of the total moment does entry 3 give?

0.00 μB/cell

> What is the formula in the second record?

CaMnTc2

> Which value of size of the total moment does entry 5 give?

0.05 μB/cell